# 1
NaCrAg2 | GGA-PBE | optimized geometry

a = 4.778 Å, b = 4.778 Å, c = 4.778 Å
α = 60.00°, β = 60.00°, γ = 60.00°
Each line ends with the local moment (μB).
Fractional coordinates of all 4 atoms:
Ag (0.250, 0.250, 0.250)  0.04
Ag (0.750, 0.750, 0.750)  0.04
Na (0.000, 0.000, 0.000)  0.00
Cr (0.500, 0.500, 0.500)  3.85

Output
- space group = Fm-3m (225)
- density of states at the Fermi level (states/eV per cell) = 1.46
- distance to the lowest polymorph of the same formula (eV/f.u.) = 0.00


# 2
NaCrAg3 | GGA-PBE | optimized geometry

a = 4.890 Å, b = 4.890 Å, c = 4.890 Å
α = 90.00°, β = 90.00°, γ = 90.00°
Each line ends with the local moment (μB).
Fractional coordinates of all 5 atoms:
Ag (0.000, 0.000, 0.500)  -0.03
Ag (0.500, 0.000, 0.000)  -0.01
Ag (0.000, 0.500, 0.000)  -0.03
Cr (0.500, 0.500, 0.500)  4.06
Na (0.000, 0.000, 0.000)  -0.02

Output
- space group = Pm-3m (221)
- density of states at the Fermi level (states/eV per cell) = 2.06
- distance to the lowest polymorph of the same formula (eV/f.u.) = 1.71


# 3
NaCrAg | GGA-PBE | optimized geometry

a = 8.794 Å, b = 2.882 Å, c = 8.850 Å
α = 90.00°, β = 90.00°, γ = 90.00°
Fractional coordinates of all 12 atoms:
Na (0.925, 0.750, 0.156)
Na (0.575, 0.250, 0.656)
Na (0.075, 0.250, 0.844)
Na (0.425, 0.750, 0.344)
Ag (0.272, 0.750, 0.639)
Ag (0.228, 0.250, 0.139)
Ag (0.728, 0.250, 0.361)
Ag (0.772, 0.750, 0.861)
Cr (0.430, 0.750, 0.954)
Cr (0.570, 0.250, 0.046)
Cr (0.070, 0.250, 0.454)
Cr (0.930, 0.750, 0.546)

Output
- space group = Pnma (62)
- density of states at the Fermi level (states/eV per cell) = 5.43
- distance to the lowest polymorph of the same formula (eV/f.u.) = 0.00


# 4
NaCr2Ag2 | GGA-PBE | optimized geometry

a = 8.064 Å, b = 8.064 Å, c = 2.720 Å
α = 90.00°, β = 90.00°, γ = 90.00°
Fractional coordinates of all 10 atoms:
Cr (0.083, 0.583, 0.500)
Cr (0.417, 0.083, 0.500)
Cr (0.917, 0.417, 0.500)
Cr (0.583, 0.917, 0.500)
Na (0.000, 0.000, 0.000)
Na (0.500, 0.500, 0.000)
Ag (0.296, 0.796, 0.000)
Ag (0.796, 0.704, 0.000)
Ag (0.204, 0.296, 0.000)
Ag (0.704, 0.204, 0.000)

Output
- space group = P4/mbm (127)
- density of states at the Fermi level (states/eV per cell) = 8.77
- distance to the lowest polymorph of the same formula (eV/f.u.) = 0.00


# 5
NaCrAg | GGA-PBE | optimized geometry

a = 8.334 Å, b = 5.904 Å, c = 4.980 Å
α = 90.00°, β = 90.00°, γ = 90.00°
Each line ends with the local moment (μB).
Fractional coordinates of all 12 atoms:
Cr (0.179, 0.750, 0.499)  4.06
Cr (0.679, 0.750, 0.001)  4.06
Cr (0.821, 0.250, 0.501)  4.06
Cr (0.321, 0.250, 0.999)  4.06
Ag (0.500, 0.500, 0.500)  0.03
Ag (0.000, 0.500, 0.000)  0.03
Ag (0.000, 0.000, 0.000)  0.03
Ag (0.500, 0.000, 0.500)  0.03
Na (0.661, 0.250, 0.000)  0.02
Na (0.339, 0.750, 0.000)  0.02
Na (0.839, 0.750, 0.500)  0.02
Na (0.161, 0.250, 0.500)  0.02

Output
- space group = Pnma (62)
- density of states at the Fermi level (states/eV per cell) = 5.34
- distance to the lowest polymorph of the same formula (eV/f.u.) = 0.61


# 6
NaCr2Ag2 | GGA-PBE | optimized geometry

a = 3.193 Å, b = 3.193 Å, c = 9.092 Å
α = 79.89°, β = 79.89°, γ = 90.00°
Fractional coordinates of all 5 atoms:
Ag (0.619, 0.619, 0.762)
Ag (0.381, 0.381, 0.238)
Na (0.000, 0.000, 0.000)
Cr (0.750, 0.250, 0.500)
Cr (0.250, 0.750, 0.500)

Output
- space group = I4/mmm (139)
- density of states at the Fermi level (states/eV per cell) = 4.01
- distance to the lowest polymorph of the same formula (eV/f.u.) = 0.03


# 7
NaCrAg | GGA-PBE | optimized geometry

a = 5.754 Å, b = 2.896 Å, c = 7.452 Å
α = 90.04°, β = 83.72°, γ = 75.87°
Fractional coordinates of all 6 atoms:
Ag (0.113, 0.124, 0.374)
Ag (0.958, 0.699, 0.074)
Na (0.628, 0.860, 0.455)
Na (0.443, 0.962, 0.994)
Cr (0.159, 0.601, 0.682)
Cr (0.911, 0.222, 0.767)

Output
- space group = P-1 (2)
- density of states at the Fermi level (states/eV per cell) = 3.28
- distance to the lowest polymorph of the same formula (eV/f.u.) = 0.00


# 8
NaCr2Ag | GGA-PBE | optimized geometry

a = 4.445 Å, b = 4.445 Å, c = 4.445 Å
α = 60.00°, β = 60.00°, γ = 60.00°
Fractional coordinates of all 4 atoms:
Ag (0.500, 0.500, 0.500)
Na (0.000, 0.000, 0.000)
Cr (0.250, 0.250, 0.250)
Cr (0.750, 0.750, 0.750)

Output
- space group = Fm-3m (225)
- density of states at the Fermi level (states/eV per cell) = 6.85
- distance to the lowest polymorph of the same formula (eV/f.u.) = 1.45